Computed, not measured: a relaxed structure of Tm8CuTe4As3 at the PBE level of DFT.

CIF file:
```
data_Tm8CuTe4As3
_space_group_name_H-M_alt 'R -3 m'
_space_group_IT_number 166
_space_group_name_Hall '-R 3 2"'
_cell_length_a 8.3024
_cell_length_b 8.3024
_cell_length_c 20.8477
_cell_angle_alpha 90.00
_cell_angle_beta 90.00
_cell_angle_gamma 120.00
loop_
_atom_site_label
_atom_site_fract_x
_atom_site_fract_y
_atom_site_fract_z
Tm1 0.0000 0.0000 0.2390
Tm2 0.0084 0.5042 0.2387
Cu1 0.0000 0.0000 0.5000
Te1 0.0000 0.0000 0.0000
Te2 0.0000 0.5000 0.0000
As1 0.0000 0.5000 0.5000
```

raw formation energy	-1228	meV/atom
energy	-5.3774	eV/atom
calculated volume	414.8	Å³/f.u.